Entry 1:
DFT (meta-GGA SCAN) results for a PBEsol-optimized structure of TcP4Ir.

POSCAR file:
```
TcP4Ir
1.0
-3.1069 0.9373 3.5764
-4.6699 0.7331 -0.9884
-3.2850 -3.3033 1.2725
Ir P Tc
1 4 1
Cartesian
0.0000 0.0000 0.0000 Ir
-5.2712 0.6306 1.7766 P
-5.3602 -1.4890 0.6250 P
-4.5789 -1.3869 2.9067 P
-6.9132 -1.0205 2.4127 P
-2.7654 -0.4082 0.9651 Tc
```

Summary:
V: 13.3 Å³/atom
energy of formation from the pure elements: 0.995 eV/atom
theoretical density: 8.634 g/cm3

***

Entry 2:
DFT (meta-GGA SCAN) results for a PBEsol-optimized structure of TcP2Ir.

POSCAR file:
```
TcP2Ir
1.0
-1.0789 1.7514 2.0181
3.2005 -2.8121 2.2019
2.3715 2.7867 -3.1000
Ir P Tc
1 2 1
Cartesian
2.7860 -0.0127 -0.4490 Ir
1.6002 -1.4061 1.1010 P
1.1857 1.3934 -1.5500 P
0.0000 0.0000 0.0000 Tc
```

Summary:
excess energy over the best structure of this formula in the dataset: 0.637 eV/atom
V: 13.8 Å³/atom
energy of formation from the pure elements: 0.264 eV/atom
theoretical density: 10.595 g/cm3

***

Entry 3:
DFT (meta-GGA SCAN) results for a PBEsol-optimized structure of TcP2Ir.

POSCAR file:
```
TcP2Ir
1.0
-1.4643 -1.2975 -2.1491
2.8955 -0.2013 0.1472
-0.6540 -6.3000 4.2492
Ir P Tc
1 2 1
Cartesian
0.7156 -0.7494 -1.0010 Ir
-0.1665 -1.6042 1.0820 P
-0.4875 -4.6958 3.1672 P
0.3886 -3.8994 1.1236 Tc
```

Summary:
excess energy over the best structure of this formula in the dataset: 0.693 eV/atom
V: 13.9 Å³/atom
energy of formation from the pure elements: 0.320 eV/atom
theoretical density: 10.542 g/cm3

***

Entry 4:
DFT (meta-GGA SCAN) results for a PBEsol-optimized structure of TcP2Ir.

POSCAR file:
```
TcP2Ir
1.0
3.1357 0.0000 0.0000
-1.5679 3.9281 -0.0054
0.0000 -1.1109 4.5551
Ir P Tc
1 2 1
Cartesian
1.5679 1.6438 1.0142 Ir
0.0000 -0.0070 0.1383 P
0.0000 1.1554 2.7561 P
1.5679 -0.5304 2.9187 Tc
```

Summary:
excess energy over the best structure of this formula in the dataset: 0.000 eV/atom
V: 14.0 Å³/atom
energy of formation from the pure elements: -0.373 eV/atom
theoretical density: 10.426 g/cm3

***

> Among the records above, which one has the lowest theoretical density?

TcP4Ir